This record from Alexandria via LeMat-Bulk describes a relaxed structure of NiHg2HO. The functional is PBE with a Hubbard U.

a b c (Å): 4.921 4.921 3.769
angles (deg): 90.00 90.00 90.00
Fractional positions:
Ni 0.000 0.000 0.000
Hg 0.000 0.500 0.500
Hg 0.500 0.000 0.500
H 0.500 0.500 0.000
O 0.000 0.000 0.500

Results
Total magnetization ... 1.11 Bohr magnetons per cell
N(E_F) ... 1.25 states/eV per cell
Symmetry ... P4/mmm, No. 123
Final energy ... -9.0 eV/f.u.
Crystal system ... tetragonal